Here is a geometry-optimized Na2MoO2F4 structure from Alexandria. Energies are from GGA+U.

POSCAR file:
```
Na2MoO2F4
1.0
4.839 0.232 0.158
1.395 5.912 0.721
1.395 2.841 5.234
F O Na Mo
4 2 2 1
Cartesian
4.954 4.368 4.562
2.675 3.137 3.725
2.675 4.616 1.550
4.954 5.848 2.388
6.210 7.617 5.183
1.418 1.367 0.930
1.923 5.571 3.790
5.706 3.414 2.323
2.419 0.116 0.079
```

Computed properties:
Symmetry: C2/m, No. 12
D(E_F) in states/eV/f.u.: 0.000
Uncorrected energy in eV/atom: -5.211